[1]
Here is a geometry-optimized Ac2TmSc structure from Alexandria. Energies are from PBE.

Cell and atoms, written as POSCAR:
```
Ac2TmSc
1.0
-2.580 -2.742 -1.195
2.883 -2.700 -0.029
-1.826 -2.043 8.634
Sc Ac Tm
1 2 1
Direct
0.500 0.500 0.000 Sc
0.000 0.000 0.239 Ac
0.000 0.000 0.761 Ac
0.500 0.500 0.500 Tm
```

- Energy above the lowest structure with this stoichiometry: 0.000 eV per atom
- DFT formation energy: 0.316 eV per formula unit
- Energy: -4.676 eV/atom
- Crystal system: tetragonal

***

[2]
Here is a geometry-optimized FeCoMo2 structure from Alexandria. Energies are from PBE.

Cell and atoms, written as POSCAR:
```
FeCoMo2
1.0
-2.127 3.043 2.785
-4.258 0.965 -1.574
2.213 -3.995 0.822
Co Fe Mo
1 1 2
Direct
0.500 0.500 0.000 Co
0.750 0.250 0.500 Fe
0.000 0.000 0.000 Mo
0.250 0.750 0.500 Mo
```

- Energy above the lowest structure with this stoichiometry: 0.103 eV per atom
- DFT formation energy: 0.760 eV per formula unit
- Energy: -9.118 eV/atom
- Crystal system: tetragonal

***

[3]
Here is a geometry-optimized MnSiP2 structure from Alexandria. Energies are from PBE.

Cell and atoms, written as POSCAR:
```
MnSiP2
1.0
-3.630 -2.500 -0.010
-0.790 -1.093 4.196
0.724 3.953 -1.811
P Si Mn
2 1 1
Direct
0.250 0.750 0.500 P
0.000 0.000 0.000 P
0.500 0.500 0.000 Si
0.750 0.250 0.500 Mn
```

- Energy: -5.923 eV/atom
- Crystal system: tetragonal

***

[4]
Here is a geometry-optimized Ta2TlIn structure from Alexandria. Energies are from PBE.

Cell and atoms, written as POSCAR:
```
Ta2TlIn
1.0
5.694 -0.003 0.239
4.869 2.952 0.239
1.015 0.283 5.081
Ta In Tl
2 1 1
Direct
0.021 0.021 0.980 Ta
0.728 0.728 0.771 Ta
0.262 0.262 0.244 In
0.489 0.489 0.504 Tl
```

- Energy above the lowest structure with this stoichiometry: 0.120 eV per atom
- DFT formation energy: 1.778 eV per formula unit
- Energy: -6.758 eV/atom
- Crystal system: monoclinic

***

[5]
Here is a geometry-optimized YAg2S3 structure from Alexandria. Energies are from PBE.

Cell and atoms, written as POSCAR:
```
YAg2S3
1.0
5.217 0.000 0.000
0.000 7.364 -0.602
0.000 -2.451 6.970
Ag Y S
4 2 6
Direct
0.000 0.218 0.218 Ag
0.500 0.782 0.782 Ag
0.000 0.782 0.782 Ag
0.500 0.218 0.218 Ag
0.750 0.741 0.259 Y
0.250 0.259 0.741 Y
0.750 0.132 0.868 S
0.250 0.868 0.132 S
0.250 0.468 0.141 S
0.750 0.141 0.468 S
0.250 0.859 0.532 S
0.750 0.532 0.859 S
```

- Energy: -4.635 eV/atom
- Crystal system: orthorhombic

***

[6]
Here is a geometry-optimized RbVC3 structure from Alexandria. Energies are from PBE.

Cell and atoms, written as POSCAR:
```
RbVC3
1.0
-4.217 -0.031 -0.671
0.091 -4.253 -0.370
-0.666 -0.380 4.201
C V Rb
3 1 1
Direct
0.500 0.000 0.000 C
0.000 0.500 0.000 C
0.000 0.000 0.500 C
0.500 0.500 0.500 V
0.000 0.000 0.000 Rb
```

- Energy above the lowest structure with this stoichiometry: 2.725 eV per atom
- DFT formation energy: 21.680 eV per formula unit
- Energy: -3.216 eV/atom
- Crystal system: cubic